(1)
Below is PrNiAu after structural relaxation, with properties calculated at the PBE-GGA level.

- calculated formation energy (eV per atom) = -0.533
- uncorrected energy (eV per atom) = -5.145
- Fermi-level density of states (states/eV per cell) = 8.18

Cell lengths 6.272, 5.532, 7.693 Å; angles 90.00, 111.66, 90.00 degrees
Space group P2_1/c (No. 14)
Symmetry-distinct sites (fractional):
Pr 0.193 0.116 0.375 (multiplicity 4)
Ni 0.169 0.617 0.522 (multiplicity 4)
Au 0.405 0.597 0.296 (multiplicity 4)

(2)
Below is PrNi2Au after structural relaxation, with properties calculated at the PBE-GGA level.

- calculated formation energy (eV per atom) = -0.346
- uncorrected energy (eV per atom) = -5.251
- Fermi-level density of states (states/eV per cell) = 5.31

Cell lengths 4.3722, 4.3722, 13.8375 Å; angles 90.00, 90.00, 120.00 degrees
Space group R-3m (No. 166, hexagonal axes)
Symmetry-distinct sites (fractional):
Pr 0.0000 0.0000 0.0000 (multiplicity 3)
Ni 0.0000 0.0000 0.1972 (multiplicity 6)
Au 0.0000 0.0000 0.5000 (multiplicity 3)

(3)
Below is PrNi4Au8 after structural relaxation, with properties calculated at the PBE-GGA level.

- calculated formation energy (eV per atom) = -0.199
- uncorrected energy (eV per atom) = -4.363
- Fermi-level density of states (states/eV per cell) = 19.61

Cell lengths 9.133, 9.133, 5.304 Å; angles 90.00, 90.00, 90.00 degrees
Space group I4/mmm (No. 139)
Symmetry-distinct sites (fractional):
Pr 0.000 0.000 0.000 (multiplicity 2)
Ni 0.250 0.250 0.250 (multiplicity 8)
Au 0.000 0.221 0.500 (multiplicity 8)
Au 0.000 0.337 0.000 (multiplicity 8)

What did the second record say?
Below is PrNi2Au after structural relaxation, with properties calculated at the PBE-GGA level.

- calculated formation energy (eV per atom) = -0.346
- uncorrected energy (eV per atom) = -5.251
- Fermi-level density of states (states/eV per cell) = 5.31

Cell lengths 4.3722, 4.3722, 13.8375 Å; angles 90.00, 90.00, 120.00 degrees
Space group R-3m (No. 166, hexagonal axes)
Symmetry-distinct sites (fractional):
Pr 0.0000 0.0000 0.0000 (multiplicity 3)
Ni 0.0000 0.0000 0.1972 (multiplicity 6)
Au 0.0000 0.0000 0.5000 (multiplicity 3)

- The lowest calculated formation energy belongs to which entry?
  PrNiAu

- Which value of calculated formation energy does entry 2 give?
  -0.346 eV per atom